5
Lattice="4.164 0.000 0.000 0.000 4.164 0.000 0.000 0.000 4.164" Properties=species:S:1:pos:R:3 comment="Co3AgP PBE-GGA optimized geometry" energy_ev_per_atom=-5.639 n_ef_per_ev_cell=11.00 e_form_ev_per_atom=0.277 space_group="Pm-3m (221)" relative_energy_kcal_per_mol_atoms=0.00 pbc="T T T"
Co 0.000 0.000 2.082
Co 0.000 2.082 0.000
Co 2.082 0.000 0.000
Ag 2.082 2.082 2.082
P 0.000 0.000 0.000